1.
PBE NiPtSe3, relaxed; energy relative to the elements, uncorrected = 0.8770 eV/atom; crystal system = cubic; ΔE to the lowest computed polymorph = 1079 meV/atom; symmetry = Pm-3m
1.0
4.9663 0.0000 0.0000
0.0000 4.9663 0.0000
0.0000 0.0000 4.9663
Ni Pt Se
1 1 3
Cartesian
0.0000 0.0000 0.0000
2.4832 2.4832 2.4832
0.0000 2.4832 2.4832
2.4832 0.0000 2.4832
2.4832 2.4832 0.0000

2.
PBE ZrSc2Se, relaxed; energy relative to the elements, uncorrected = -0.7030 eV/atom; crystal system = trigonal; symmetry = R-3m
1.0
3.4650 0.0000 0.0000
-1.7325 3.0008 0.0000
0.0000 0.0000 26.0776
Zr Sc Se
3 6 3
Cartesian
0.0000 0.0000 0.0000
0.0000 2.0005 17.3851
1.7325 1.0003 8.6925
0.0000 0.0000 6.1782
0.0000 0.0000 19.8994
0.0000 2.0005 11.2069
0.0000 2.0005 23.5632
1.7325 1.0003 2.5143
1.7325 1.0003 14.8707
0.0000 0.0000 13.0388
0.0000 2.0005 4.3463
1.7325 1.0003 21.7313

3.
PBE Nd3Al3Au8, relaxed; formation enthalpy at 0 K = -9.94 eV/f.u.; crystal system = monoclinic; ΔE to the lowest computed polymorph = 0 meV/atom; symmetry = C2/m
1.0
8.1949 -2.3294 0.0000
8.1949 2.3294 0.0000
-4.8514 0.0000 7.6515
Nd Al Au
3 3 8
Cartesian
0.0000 0.0000 0.0000
3.4869 0.0000 2.0652
8.0515 0.0000 5.5863
-2.4257 0.0000 3.8257
2.1997 0.0000 5.1357
9.3387 0.0000 2.5157
-1.9815 0.0000 6.3978
0.2504 0.0000 3.3163
1.1119 0.0000 7.3932
4.8450 0.0000 5.0441
6.6933 0.0000 2.6074
10.4265 0.0000 0.2582
11.2880 0.0000 4.3352
13.5198 0.0000 1.2536

4.
PBE CeScCdSn, relaxed; formation enthalpy at 0 K = -1.60 eV/f.u.; crystal system = cubic; symmetry = F-43m
1.0
7.4002 0.0000 0.0000
0.0000 7.4002 0.0000
0.0000 0.0000 7.4002
Ce Sc Cd Sn
4 4 4 4
Cartesian
0.0000 0.0000 0.0000
0.0000 3.7001 3.7001
3.7001 0.0000 3.7001
3.7001 3.7001 0.0000
0.0000 0.0000 3.7001
0.0000 3.7001 0.0000
3.7001 0.0000 0.0000
3.7001 3.7001 3.7001
1.8501 1.8501 1.8501
1.8501 5.5502 5.5502
5.5502 1.8501 5.5502
5.5502 5.5502 1.8501
1.8501 1.8501 5.5502
1.8501 5.5502 1.8501
5.5502 1.8501 1.8501
5.5502 5.5502 5.5502

5.
PBE HoCo5P2, relaxed; formation enthalpy at 0 K = -5.19 eV/f.u.; crystal system = orthorhombic; symmetry = Immm
1.0
3.5635 0.0000 0.0000
0.0000 6.3847 0.0000
0.0000 0.0000 8.7835
Ho Co P
2 10 4
Cartesian
0.0000 0.0000 0.0000
1.7818 3.1924 4.3918
0.0000 1.2212 3.0798
0.0000 1.2212 5.7037
0.0000 3.1924 0.0000
0.0000 5.1635 3.0798
0.0000 5.1635 5.7037
1.7818 0.0000 4.3918
1.7818 1.9712 1.3120
1.7818 1.9712 7.4716
1.7818 4.4136 1.3120
1.7818 4.4136 7.4716
0.0000 3.1924 2.1484
0.0000 3.1924 6.6352
1.7818 0.0000 2.2434
1.7818 0.0000 6.5401

6.
PBE CePr2Y2, relaxed; formation enthalpy at 0 K = 2.53 eV/f.u.; crystal system = tetragonal; symmetry = I4/mmm
1.0
6.0723 0.0000 0.0000
0.0000 6.0723 0.0000
0.0000 0.0000 9.6605
Ce Pr Y
2 4 4
Cartesian
0.0000 0.0000 0.0000
3.0362 3.0362 4.8303
0.0000 0.0000 3.3984
0.0000 0.0000 6.2621
3.0362 3.0362 1.4319
3.0362 3.0362 8.2287
0.0000 3.0362 2.4151
0.0000 3.0362 7.2454
3.0362 0.0000 2.4151
3.0362 0.0000 7.2454

7.
PBE LiPtS2N, relaxed; energy relative to the elements, uncorrected = 1.1984 eV/atom; crystal system = tetragonal; ΔE to the lowest computed polymorph = 840 meV/atom; symmetry = P4/mmm
1.0
4.4724 0.0000 0.0000
0.0000 4.4724 0.0000
0.0000 0.0000 3.3816
Li Pt S N
1 1 2 1
Cartesian
0.0000 0.0000 0.0000
2.2362 2.2362 1.6908
0.0000 2.2362 0.0000
2.2362 0.0000 0.0000
0.0000 0.0000 1.6908

8.
PBE LiPaAs2, relaxed; formation enthalpy at 0 K = -3.07 eV/f.u.; crystal system = tetragonal; ΔE to the lowest computed polymorph = 36 meV/atom; symmetry = P4/mmm
1.0
4.6374 0.0000 0.0000
0.0000 4.6374 0.0000
0.0000 0.0000 3.6677
Li Pa As
1 1 2
Cartesian
0.0000 0.0000 0.0000
2.3187 2.3187 0.0000
0.0000 2.3187 1.8338
2.3187 0.0000 1.8338

Number 1: Fermi-level density of states 10.35 states/eV/cell. Number 2: Fermi-level density of states 11.60 states/eV/cell. Number 3: Fermi-level density of states 7.12 states/eV/cell. Number 4: Fermi-level density of states 32.14 states/eV/cell. Number 5: Fermi-level density of states 18.02 states/eV/cell. Number 6: Fermi-level density of states 23.58 states/eV/cell. Number 7: Fermi-level density of states 2.91 states/eV/cell. Number 8: Fermi-level density of states 2.52 states/eV/cell.